Computed, not measured: a relaxed structure of TlTcOsI2 at the PBEsol level of DFT.

- Symmetry: P4/mmm (123)
- Raw formation energy: 1069 meV per atom

a = 4.661 Å, b = 5.451 Å, c = 5.451 Å
α = 90.00°, β = 90.00°, γ = 90.00°
Each line ends with the local moment (μB).
Atoms (fractional coordinates):
Tl: 0.500 0.500 0.500  0.01
Os: 0.500 0.000 0.000  1.13
Tc: 0.000 0.000 0.000  0.36
I: 0.000 0.000 0.500  0.04
I: 0.000 0.500 0.000  0.04

Computed, not measured: a relaxed structure of CsTePI2 at the PBEsol level of DFT.

- Symmetry: P4/mmm (123)
- Raw formation energy: -395 meV per atom

a = 5.259 Å, b = 5.759 Å, c = 5.759 Å
α = 90.00°, β = 90.00°, γ = 90.00°
Atoms (fractional coordinates):
Cs: 0.500 0.500 0.500
I: 0.000 0.000 0.500
Te: 0.500 0.000 0.000
I: 0.000 0.500 0.000
P: 0.000 0.000 0.000

Computed, not measured: a relaxed structure of ErTlTe2 at the PBEsol level of DFT.

- Symmetry: R-3m (166)
- Raw formation energy: -995 meV per atom

a = 4.321 Å, b = 4.321 Å, c = 8.385 Å
α = 75.07°, β = 75.07°, γ = 60.00°
Atoms (fractional coordinates):
Er: 0.000 0.000 0.000
Te: 0.739 0.739 0.784
Te: 0.261 0.261 0.216
Tl: 0.500 0.500 0.500

Computed, not measured: a relaxed structure of ZrScTl2 at the PBEsol level of DFT.

- Symmetry: Cmmm (65)
- Formation energy from the elements: -0.25 eV per atom

a = 3.213 Å, b = 5.321 Å, c = 5.321 Å
α = 106.13°, β = 90.00°, γ = 90.00°
Each line ends with the local moment (μB).
Atoms (fractional coordinates):
Tl: 0.000 0.500 0.000  0.00
Zr: 0.500 0.000 0.000  0.05
Sc: 0.500 0.500 0.500  0.17
Tl: 0.000 0.000 0.500  0.00

Computed, not measured: a relaxed structure of KMoRh at the PBEsol level of DFT.

- Symmetry: I4mm (107)
- Formation energy from the elements: 0.74 eV per atom

a = 2.869 Å, b = 2.869 Å, c = 7.653 Å
α = 100.80°, β = 100.80°, γ = 90.00°
Atoms (fractional coordinates):
K: 0.985 0.985 0.971
Rh: 0.310 0.310 0.620
Mo: 0.705 0.705 0.409

Computed, not measured: a relaxed structure of CaIr2Pb2 at the PBEsol level of DFT.

- Symmetry: I4/mmm (139)
- Formation energy from the elements: 0.09 eV per atom

a = 4.357 Å, b = 4.357 Å, c = 6.724 Å
α = 108.90°, β = 108.90°, γ = 90.00°
Atoms (fractional coordinates):
Pb: 0.377 0.377 0.753
Pb: 0.623 0.623 0.247
Ir: 0.750 0.250 0.500
Ca: 0.000 0.000 0.000
Ir: 0.250 0.750 0.500

Computed, not measured: a relaxed structure of Rb3AlI6 at the PBEsol level of DFT.

- Symmetry: Fm-3m (225)
- Raw formation energy: -1059 meV per atom

a = 8.828 Å, b = 8.828 Å, c = 8.828 Å
α = 60.00°, β = 60.00°, γ = 60.00°
Atoms (fractional coordinates):
I: 0.778 0.222 0.778
Rb: 0.500 0.500 0.500
Al: 0.000 0.000 0.000
Rb: 0.250 0.250 0.250
I: 0.222 0.222 0.778
I: 0.778 0.778 0.222
I: 0.222 0.778 0.778
I: 0.222 0.778 0.222
Rb: 0.750 0.750 0.750
I: 0.778 0.222 0.222

Computed, not measured: a relaxed structure of CuRe2Pb at the PBEsol level of DFT.

- Excess energy over the best structure of this formula in the dataset: 300 meV per atom
- Symmetry: P4/mmm (123)
- Formation energy from the elements: 1.12 eV per atom

a = 3.302 Å, b = 4.359 Å, c = 4.359 Å
α = 90.00°, β = 90.00°, γ = 90.00°
Atoms (fractional coordinates):
Pb: 0.500 0.000 0.000
Re: 0.000 0.000 0.500
Cu: 0.500 0.500 0.500
Re: 0.000 0.500 0.000

Computed, not measured: a relaxed structure of ZnCoRu2 at the PBEsol level of DFT.

- Symmetry: I4/mmm (139)
- Formation energy from the elements: 0.19 eV per atom

a = 3.634 Å, b = 3.634 Å, c = 4.550 Å
α = 113.54°, β = 113.54°, γ = 90.00°
Atoms (fractional coordinates):
Ru: 0.750 0.250 0.500
Ru: 0.250 0.750 0.500
Zn: 0.500 0.500 0.000
Co: 0.000 0.000 0.000

Computed, not measured: a relaxed structure of GaBP2Pt at the PBEsol level of DFT.

- Symmetry: P4/mmm (123)
- Formation energy from the elements: 0.75 eV per atom

a = 3.917 Å, b = 4.812 Å, c = 4.812 Å
α = 90.00°, β = 90.00°, γ = 90.00°
Atoms (fractional coordinates):
B: 0.500 0.000 0.000
Pt: 0.000 0.000 0.000
P: 0.000 0.000 0.500
P: 0.000 0.500 0.000
Ga: 0.500 0.500 0.500

Computed, not measured: a relaxed structure of SrYAg3 at the PBEsol level of DFT.

- Symmetry: Pm-3m (221)
- Formation energy from the elements: 0.35 eV per atom

a = 5.346 Å, b = 5.346 Å, c = 5.346 Å
α = 90.00°, β = 90.00°, γ = 90.00°
Atoms (fractional coordinates):
Y: 0.000 0.000 0.000
Ag: 0.000 0.500 0.000
Sr: 0.500 0.500 0.500
Ag: 0.500 0.000 0.000
Ag: 0.000 0.000 0.500

Computed, not measured: a relaxed structure of POs2W at the PBEsol level of DFT.

- Symmetry: C2/m (12)
- Formation energy from the elements: 0.18 eV per atom

a = 2.803 Å, b = 4.384 Å, c = 4.852 Å
α = 91.24°, β = 106.79°, γ = 90.00°
Atoms (fractional coordinates):
W: 0.500 0.000 0.000
Os: 0.224 0.243 0.449
P: 0.000 0.500 0.000
Os: 0.776 0.757 0.551